The following is a PBE-GGA calculation of an optimized crystal structure of Ta2NbSb, from Alexandria via LeMat-Bulk.

```
8
Lattice="-2.0249 2.0249 10.0699 2.0249 -2.0249 10.0699 2.0249 2.0249 -10.0699" Properties=species:S:1:pos:R:3 pbc="T T T"
Ta 3.0373 0.9978 -2.5175
Ta 0.9978 1.0124 2.5175
Ta -1.0124 1.0271 7.5524
Ta 1.0271 1.0124 12.5874
Nb 2.0249 0.0000 5.0349
Nb 0.0000 0.0000 10.0699
Sb 0.0000 0.0000 0.0000
Sb 0.0000 2.0249 5.0349
```

Calculated values
Density of states at the Fermi level in states/eV/f.u.: 4.232
Total energy in eV/atom: -8.95
Magnetization in μB/cell: 0.0
Energy relative to the elements, uncorrected in meV/atom: 525